Compound: BaIr2
Source: Alexandria via LeMat-Bulk
Functional: PBE
Structure: relaxed

Lattice parameters (Å, degrees): 4.745 4.745 4.745 60.00 60.00 60.00
Atoms (fractional coordinates):
Ir 0.250 0.250 0.250
Ir 0.750 0.750 0.750
Ba 0.000 0.000 0.000

Results
space group: Fm-3m, No. 225
volume: 75.6 Å³/cell
spin magnetization: 0.00 μB per cell
ΔH_f (0 K): 1760.3 meV/atom